# 1
A plane-wave DFT calculation with PBE-GGA was carried out for a geometry-optimized NpNbPb structure.

The space group is F-43m (No. 216) and the conventional cell measures 6.761, 6.761 and 6.761 Å, with angles of 90.00, 90.00 and 90.00 degrees. The inequivalent atoms are Np at (0.000, 0.000, 0.000), Nb at (0.250, 0.250, 0.250) and Pb at (0.000, 0.000, 0.500).

As for the polymorph energy (0 for the lowest one): 0 meV per atom.



# 2
A plane-wave DFT calculation with PBE-GGA was carried out for a geometry-optimized ScZn structure.

The space group is P-6m2 (No. 187) and the conventional cell measures 6.1032, 6.1032 and 4.8732 Å, with angles of 90.00, 90.00 and 120.00 degrees. The inequivalent atoms are Sc at (0.0000, 0.0000, 0.0000), Sc at (0.3368, 0.1684, 0.5000), Zn at (0.3333, 0.6667, 0.5000) and Zn at (0.5073, 0.0146, 0.0000).

The calculation puts the formation energy at -1 meV per atom.